1.
Compound: Tb5Er4Tm
Source: the Alexandria database
Functional: PBE
Structure: relaxed

The relative energy among the computed polymorphs comes out at 0.00 eV per formula unit. The calculated formation energy is 39 meV per atom.

The space group is C2/m (No. 12) and the conventional cell measures 16.7494, 3.5044 and 11.2404 Å, with angles of 90.00, 108.81 and 90.00 degrees. The asymmetric unit holds Tb at (0.0000, 0.0000, 0.0000), Tb at (0.1892, 0.5000, 0.0769), Tb at (0.2116, 0.5000, 0.6171), Er at (0.0829, 0.5000, 0.2941), Er at (0.1054, 0.0000, 0.7953) and Tm at (0.0000, 0.0000, 0.5000).

=====

2.
Compound: LiCuF4
Source: the Alexandria database
Functional: PBE
Structure: relaxed

The space group is Pnma (No. 62) and the conventional cell measures 10.0420, 7.3757 and 7.4489 Å, with angles of 90.00, 90.00 and 90.00 degrees. The asymmetric unit holds Li at (0.0219, 0.2500, 0.1244), Li at (0.0373, 0.2500, 0.5577), Cu at (0.2433, 0.5025, 0.3796), F at (0.0717, 0.0775, 0.3399), F at (0.0904, 0.0770, 0.9323), F at (0.1653, 0.7500, 0.4076), F at (0.1869, 0.7500, 0.8532) and F at (0.2121, 0.0513, 0.6307).

=====

3.
Compound: NaPa2Mo3N6
Source: the Alexandria database
Functional: PBE
Structure: relaxed

The space group is C2/m (No. 12) and the conventional cell measures 13.9871, 3.2710 and 6.4433 Å, with angles of 90.00, 103.50 and 90.00 degrees. The asymmetric unit holds Na at (0.0000, 0.0000, 0.0000), Pa at (0.1619, 0.5000, 0.3081), Mo at (0.0000, 0.0000, 0.5000), Mo at (0.1606, 0.5000, 0.8065), N at (0.0034, 0.5000, 0.7334), N at (0.1599, 0.0000, 0.5753) and N at (0.1714, 0.0000, 0.0522).

=====

VASP energy? In order: -90.98; -196.86; -224.87 eV per cell.
V? In order: 625; 552; 287 Å³/cell.